(1)
VASP calculation (PBE) on a relaxed structure of Ac2LuCu.

Computed properties:
- Final energy: -3.860 eV per atom
- Formation energy from the elements: 0.349 eV/atom
- Density: 8.325 Mg/m³

Cell: 3.7438 3.7438 34.1386 Å, 90.00 90.00 120.00°
Space group R-3m (No. 166, hexagonal axes)
Inequivalent atoms, fractional coordinates:
Ac 0.0000 0.0000 0.1022
Lu 0.0000 0.0000 0.0000
Cu 0.0000 0.0000 0.5000

(2)
VASP calculation (PBE) on a relaxed structure of Ac2LuCu.

Computed properties:
- Final energy: -4.192 eV per atom
- Formation energy from the elements: 0.017 eV/atom
- Density: 8.883 Mg/m³

Cell: 3.8476 3.8476 8.7446 Å, 90.00 90.00 90.00°
Space group P4/mmm (No. 123)
Inequivalent atoms, fractional coordinates:
Ac 0.0000 0.0000 0.2118
Lu 0.5000 0.5000 0.5000
Cu 0.5000 0.5000 0.0000

(3)
VASP calculation (PBE) on a relaxed structure of AcLuCu2.

Computed properties:
- Final energy: -4.313 eV per atom
- Formation energy from the elements: -0.108 eV/atom
- Density: 9.402 Mg/m³

Cell: 5.1162 5.1162 3.5696 Å, 90.00 90.00 90.00°
Space group P4/mmm (No. 123)
Inequivalent atoms, fractional coordinates:
Ac 0.0000 0.0000 0.0000
Lu 0.5000 0.5000 0.0000
Cu 0.0000 0.5000 0.5000

(4)
VASP calculation (PBE) on a relaxed structure of AcLuCu.

Computed properties:
- Final energy: -4.305 eV per atom
- Formation energy from the elements: -0.064 eV/atom
- Density: 9.217 Mg/m³

Cell: 3.6407 3.6407 12.6538 Å, 90.00 90.00 90.00°
Space group I4mm (No. 107)
Inequivalent atoms, fractional coordinates:
Ac 0.0000 0.0000 0.0000
Lu 0.0000 0.0000 0.2766
Cu 0.0000 0.0000 0.6746